Ac6Pm2Dy3 | Alexandria | GGA-PBE | relaxed; calculated total energy = -0.1533 hartree per atom; spin magnetization = 0.00 μB/atom; density of states at the Fermi level = 14.2 states/eV/f.u.; calculated density = 7.89 g cm⁻³; energy relative to the elements = 0.188 eV per atom
1.0
3.313 -5.723 0.000
3.313 5.723 0.000
-2.129 0.000 11.880
Ac Pm Dy
6 2 3
direct
0.086 0.418 0.750
0.246 0.246 0.253
0.418 0.086 0.750
0.582 0.914 0.250
0.754 0.754 0.747
0.914 0.582 0.250
0.331 0.669 0.500
0.669 0.331 0.500
0.166 0.834 0.000
0.500 0.500 0.000
0.834 0.166 0.000

=====

Ac5Pm2Dy4 | Alexandria | GGA-PBE | relaxed; calculated total energy = -0.1572 hartree per atom; spin magnetization = 0.00 μB/atom; density of states at the Fermi level = 17.9 states/eV/f.u.; calculated density = 8.07 g cm⁻³; energy relative to the elements = 0.128 eV per atom
1.0
12.664 -1.878 0.000
12.664 1.878 0.000
-0.914 0.000 8.976
Ac Pm Dy
5 2 4
direct
0.000 0.000 0.000
0.318 0.318 0.523
0.366 0.366 0.954
0.634 0.634 0.046
0.682 0.682 0.477
0.085 0.085 0.688
0.915 0.915 0.312
0.226 0.226 0.829
0.463 0.463 0.651
0.537 0.537 0.349
0.774 0.774 0.171

=====

Ac2Pm5Dy2 | Alexandria | GGA-PBE | relaxed; calculated total energy = -0.1662 hartree per atom; spin magnetization = 0.00 μB/atom; density of states at the Fermi level = 12.1 states/eV/f.u.; calculated density = 7.68 g cm⁻³; energy relative to the elements = 0.053 eV per atom
1.0
3.799 0.000 0.000
1.897 9.130 0.000
0.003 2.506 9.382
Ac Pm Dy
2 5 2
direct
0.070 0.358 0.352
0.930 0.642 0.648
0.251 0.000 0.647
0.391 0.718 0.267
0.500 0.500 0.000
0.609 0.282 0.733
0.749 0.000 0.353
0.178 0.144 0.049
0.822 0.856 0.951

=====

AcPm6Dy3 | Alexandria | GGA-PBE | relaxed; calculated total energy = -0.1670 hartree per atom; spin magnetization = 0.00 μB/atom; density of states at the Fermi level = 16.3 states/eV/f.u.; calculated density = 7.53 g cm⁻³; energy above the most stable polymorph in this dataset = 0.0 meV per atom; energy relative to the elements = 0.099 eV per atom
1.0
13.350 0.000 0.000
0.000 3.595 0.000
-5.056 0.000 14.570
Ac Pm Dy
2 12 6
direct
0.212 0.250 0.089
0.788 0.750 0.911
0.042 0.750 0.878
0.125 0.250 0.487
0.173 0.750 0.294
0.282 0.250 0.893
0.380 0.750 0.496
0.466 0.750 0.104
0.534 0.250 0.896
0.620 0.250 0.504
0.718 0.750 0.107
0.827 0.250 0.706
0.875 0.750 0.513
0.958 0.250 0.122
0.080 0.250 0.693
0.315 0.750 0.701
0.414 0.250 0.304
0.586 0.750 0.696
0.685 0.250 0.299
0.920 0.750 0.307

=====

AcPm7Dy12 | Alexandria | GGA-PBE | relaxed; calculated total energy = -0.1476 hartree per atom; spin magnetization = 0.00 μB/atom; density of states at the Fermi level = 27.3 states/eV/f.u.; calculated density = 7.21 g cm⁻³; energy above the most stable polymorph in this dataset = 384.0 meV per atom; energy relative to the elements = 0.613 eV per atom
1.0
-5.685 5.685 5.685
5.685 -5.685 5.685
5.685 5.685 -5.685
Ac Pm Dy
1 7 12
direct
0.000 0.000 0.000
0.000 0.000 0.500
0.000 0.500 0.000
0.000 0.500 0.500
0.500 0.000 0.000
0.500 0.000 0.500
0.500 0.500 0.000
0.500 0.500 0.500
0.000 0.256 0.744
0.000 0.744 0.256
0.256 0.000 0.744
0.256 0.256 0.511
0.256 0.511 0.256
0.256 0.744 0.000
0.489 0.744 0.744
0.511 0.256 0.256
0.744 0.000 0.256
0.744 0.256 0.000
0.744 0.489 0.744
0.744 0.744 0.489

=====

AcPm3Dy6 | Alexandria | GGA-PBE | relaxed; calculated total energy = -0.1570 hartree per atom; spin magnetization = 0.00 μB/atom; density of states at the Fermi level = 22.1 states/eV/f.u.; calculated density = 7.90 g cm⁻³; energy relative to the elements = 0.324 eV per atom
1.0
4.987 2.880 3.996
-4.987 2.880 3.996
0.000 -5.759 3.996
Ac Pm Dy
1 3 6
direct
0.000 0.000 0.000
0.262 0.262 0.262
0.500 0.500 0.500
0.738 0.738 0.738
0.000 0.340 0.660
0.170 0.830 0.500
0.340 0.660 0.000
0.500 0.170 0.830
0.660 0.000 0.340
0.830 0.500 0.170